1.
Density functional theory data (PBE-GGA) for a relaxed Nd3Bi2P crystal.

Values from the calculation:
final energy	-0.2051	hartree per atom
formation energy from the elements	-1003	meV per atom
SG	P6_3/mmc, No. 194

abc: 4.3866 4.3866 22.9545
angles: 90.00 90.00 120.00
Atoms (fractional coordinates):
Nd 0.0000 0.0000 0.0000
Nd 0.0000 0.0000 0.5000
Nd 0.3333 0.6667 0.1735
Nd 0.3333 0.6667 0.3265
Nd 0.6667 0.3333 0.6735
Nd 0.6667 0.3333 0.8265
Bi 0.3333 0.6667 0.5862
Bi 0.3333 0.6667 0.9138
Bi 0.6667 0.3333 0.0862
Bi 0.6667 0.3333 0.4138
P 0.0000 0.0000 0.2500
P 0.0000 0.0000 0.7500

---

2.
Density functional theory data (PBE-GGA) for a relaxed Nd5Bi4P crystal.

Values from the calculation:
final energy	-0.2019	hartree per atom
formation energy from the elements	-1017	meV per atom
SG	I4/mmm, No. 139

abc: 16.2907 16.2907 16.2907
angles: 164.00 164.00 22.70
Atoms (fractional coordinates):
Nd 0.0000 0.0000 0.0000
Nd 0.2006 0.2006 0.0000
Nd 0.4088 0.4088 0.0000
Nd 0.5912 0.5912 0.0000
Nd 0.7994 0.7994 0.0000
Bi 0.0993 0.0993 0.0000
Bi 0.3033 0.3033 0.0000
Bi 0.6967 0.6967 0.0000
Bi 0.9007 0.9007 0.0000
P 0.5000 0.5000 0.0000

---

3.
Density functional theory data (PBE-GGA) for a relaxed Nd2BiP crystal.

Values from the calculation:
final energy	-0.2142	hartree per atom
formation energy from the elements	-1121	meV per atom
SG	R3m, No. 160

abc: 8.0124 8.0124 8.0124
angles: 30.88 30.88 30.88
Atoms (fractional coordinates):
Nd 0.0000 0.0000 0.0000
Nd 0.1909 0.1909 0.1909
Bi 0.7628 0.7628 0.7628
P 0.5940 0.5940 0.5940

---

4.
Density functional theory data (PBE-GGA) for a relaxed Nd5BiP6 crystal.

Values from the calculation:
final energy	-0.2292	hartree per atom
formation energy from the elements	-1223	meV per atom
SG	C2/m, No. 12

abc: 7.2304 7.2304 7.2255
angles: 99.59 99.59 120.02
Atoms (fractional coordinates):
Nd 0.0000 0.0000 0.0000
Nd 0.1671 0.8329 0.5000
Nd 0.3339 0.6661 0.0000
Nd 0.6661 0.3339 0.0000
Nd 0.8329 0.1671 0.5000
Bi 0.5000 0.5000 0.5000
P 0.0802 0.4165 0.2495
P 0.2479 0.2479 0.7532
P 0.4165 0.0802 0.2495
P 0.5835 0.9198 0.7505
P 0.7521 0.7521 0.2468
P 0.9198 0.5835 0.7505

---

5.
Density functional theory data (PBE-GGA) for a relaxed Nd4Bi3P crystal.

Values from the calculation:
final energy	-0.2044	hartree per atom
formation energy from the elements	-1045	meV per atom
SG	Cmmm, No. 65

abc: 7.8118 7.8118 4.4742
angles: 90.00 90.00 109.17
Atoms (fractional coordinates):
Nd 0.2303 0.2303 0.5000
Nd 0.2390 0.7610 0.0000
Nd 0.7610 0.2390 0.0000
Nd 0.7697 0.7697 0.5000
Bi 0.0000 0.5000 0.5000
Bi 0.5000 0.0000 0.5000
Bi 0.5000 0.5000 0.0000
P 0.0000 0.0000 0.0000

---

6.
Density functional theory data (PBE-GGA) for a relaxed Nd2BiP crystal.

Values from the calculation:
final energy	-0.2174	hartree per atom
formation energy from the elements	-1208	meV per atom
SG	R-3m, No. 166

abc: 7.7479 7.7479 7.7479
angles: 32.42 32.42 32.42
Atoms (fractional coordinates):
Nd 0.2400 0.2400 0.2400
Nd 0.7600 0.7600 0.7600
Bi 0.0000 0.0000 0.0000
P 0.5000 0.5000 0.5000

---

7.
Density functional theory data (PBE-GGA) for a relaxed NdBiP crystal.

Values from the calculation:
final energy	-0.1950	hartree per atom
formation energy from the elements	-619	meV per atom
SG	R-3m, No. 166

abc: 10.2603 10.2603 10.2603
angles: 27.19 27.19 27.19
Atoms (fractional coordinates):
Nd 0.1176 0.1176 0.1176
Nd 0.8824 0.8824 0.8824
Bi 0.3596 0.3596 0.3596
Bi 0.6404 0.6404 0.6404
P 0.2130 0.2130 0.2130
P 0.7870 0.7870 0.7870

---

8.
Density functional theory data (PBE-GGA) for a relaxed Nd3Bi2P crystal.

Values from the calculation:
final energy	-0.2081	hartree per atom
formation energy from the elements	-1085	meV per atom
SG	C2/c, No. 15

abc: 7.7426 7.7426 7.6546
angles: 99.56 99.56 119.33
Atoms (fractional coordinates):
Nd 0.0000 0.5000 0.0000
Nd 0.1460 0.2967 0.4972
Nd 0.2967 0.1460 0.9972
Nd 0.5000 0.0000 0.5000
Nd 0.7033 0.8540 0.0028
Nd 0.8540 0.7033 0.5028
Bi 0.2574 0.7426 0.7500
Bi 0.4178 0.5822 0.2500
Bi 0.5822 0.4178 0.7500
Bi 0.7426 0.2574 0.2500
P 0.0848 0.9152 0.2500
P 0.9152 0.0848 0.7500

---

9.
Density functional theory data (PBE-GGA) for a relaxed Nd4BiPS2 crystal.

Values from the calculation:
final energy	-0.2267	hartree per atom
ΔE_f (raw)	-1.5917	eV per atom
SG	P2/m, No. 10

abc: 7.2753 4.2292 7.4369
angles: 90.00 109.49 90.00
Atoms (fractional coordinates):
Nd 0.2335 0.0000 0.2242
Nd 0.2468 0.5000 0.7658
Nd 0.7532 0.5000 0.2342
Nd 0.7665 0.0000 0.7758
Bi 0.5000 0.5000 0.5000
P 0.5000 0.0000 0.0000
S 0.0000 0.0000 0.5000
S 0.0000 0.5000 0.0000

---

10.
Density functional theory data (PBE-GGA) for a relaxed Nd2Sc2Bi2P crystal.

Values from the calculation:
final energy	-0.2199	hartree per atom
formation energy from the elements	-930	meV per atom
SG	I4/mmm, No. 139

abc: 8.9918 8.9918 8.9918
angles: 148.61 148.61 44.99
Atoms (fractional coordinates):
Nd 0.1690 0.1690 0.0000
Nd 0.8310 0.8310 0.0000
Sc 0.0000 0.5000 0.5000
Sc 0.5000 0.0000 0.5000
Bi 0.3675 0.3675 0.0000
Bi 0.6325 0.6325 0.0000
P 0.0000 0.0000 0.0000

---

11.
Density functional theory data (PBE-GGA) for a relaxed Nd6BiP2Se3 crystal.

Values from the calculation:
final energy	-0.2241	hartree per atom
ΔE_f (raw)	-1.6192	eV per atom
SG	C2/m, No. 12

abc: 9.5790 9.5790 8.6217
angles: 102.87 102.87 25.67
Atoms (fractional coordinates):
Nd 0.0091 0.0091 0.2680
Nd 0.3261 0.3261 0.8925
Nd 0.3275 0.3275 0.4261
Nd 0.6725 0.6725 0.5739
Nd 0.6739 0.6739 0.1075
Nd 0.9909 0.9909 0.7320
Bi 0.5000 0.5000 0.0000
P 0.1685 0.1685 0.3367
P 0.8315 0.8315 0.6633
Se 0.1626 0.1626 0.8337
Se 0.5000 0.5000 0.5000
Se 0.8374 0.8374 0.1663

---

12.
Density functional theory data (PBE-GGA) for a relaxed Nd4Bi2PSe crystal.

Values from the calculation:
final energy	-0.2123	hartree per atom
ΔE_f (raw)	-1.3107	eV per atom
SG	P2/m, No. 10

abc: 7.5967 4.3824 7.6790
angles: 90.00 109.14 90.00
Atoms (fractional coordinates):
Nd 0.2341 0.0000 0.2244
Nd 0.2483 0.5000 0.7713
Nd 0.7517 0.5000 0.2287
Nd 0.7659 0.0000 0.7756
Bi 0.0000 0.0000 0.5000
Bi 0.5000 0.5000 0.5000
P 0.0000 0.5000 0.0000
Se 0.5000 0.0000 0.0000

---

13.
Density functional theory data (PBE-GGA) for a relaxed Nd4BiPSe2 crystal.

Values from the calculation:
final energy	-0.2188	hartree per atom
ΔE_f (raw)	-1.5375	eV per atom
SG	P2/m, No. 10

abc: 7.4237 4.3021 7.5780
angles: 90.00 109.38 90.00
Atoms (fractional coordinates):
Nd 0.2409 0.0000 0.2293
Nd 0.2534 0.5000 0.7724
Nd 0.7466 0.5000 0.2276
Nd 0.7591 0.0000 0.7707
Bi 0.0000 0.0000 0.5000
P 0.0000 0.5000 0.0000
Se 0.5000 0.0000 0.0000
Se 0.5000 0.5000 0.5000

---

14.
Density functional theory data (PBE-GGA) for a relaxed Nd6BiTe3P2 crystal.

Values from the calculation:
final energy	-0.2144	hartree per atom
ΔE_f (raw)	-1.4384	eV per atom
SG	C2/m, No. 12

abc: 9.9347 9.9347 8.9354
angles: 104.06 104.06 25.32
Atoms (fractional coordinates):
Nd 0.0165 0.0165 0.2597
Nd 0.3237 0.3237 0.4343
Nd 0.3280 0.3280 0.8811
Nd 0.6720 0.6720 0.1189
Nd 0.6763 0.6763 0.5657
Nd 0.9835 0.9835 0.7403
Bi 0.5000 0.5000 0.0000
Te 0.1605 0.1605 0.8333
Te 0.5000 0.5000 0.5000
Te 0.8395 0.8395 0.1667
P 0.1697 0.1697 0.3378
P 0.8303 0.8303 0.6622

---

15.
Density functional theory data (PBE-GGA) for a relaxed Nd4Bi2TeP crystal.

Values from the calculation:
final energy	-0.2069	hartree per atom
ΔE_f (raw)	-1.2073	eV per atom
SG	P2/m, No. 10

abc: 7.7472 4.4512 7.7662
angles: 90.00 109.17 90.00
Atoms (fractional coordinates):
Nd 0.2292 0.0000 0.2288
Nd 0.2382 0.5000 0.7633
Nd 0.7618 0.5000 0.2367
Nd 0.7708 0.0000 0.7712
Bi 0.5000 0.0000 0.0000
Bi 0.5000 0.5000 0.5000
Te 0.0000 0.0000 0.5000
P 0.0000 0.5000 0.0000

---

16.
Density functional theory data (PBE-GGA) for a relaxed NdThBiP crystal.

Values from the calculation:
final energy	-0.2375	hartree per atom
formation energy from the elements	-1093	meV per atom
SG	R3m, No. 160

abc: 7.8877 7.8877 7.8877
angles: 31.58 31.58 31.58
Atoms (fractional coordinates):
Nd 0.0000 0.0000 0.0000
Th 0.8076 0.8076 0.8076
Bi 0.2364 0.2364 0.2364
P 0.4069 0.4069 0.4069

---

17.
Density functional theory data (PBE-GGA) for a relaxed Nd3PaBi5 crystal.

Values from the calculation:
final energy	-0.2018	hartree per atom
formation energy from the elements	-691	meV per atom
SG	P6_3/mcm, No. 193

abc: 9.9876 9.9876 6.4342
angles: 90.00 90.00 120.00
Atoms (fractional coordinates):
Nd 0.0000 0.3825 0.2500
Nd 0.0000 0.6175 0.7500
Nd 0.3825 0.0000 0.2500
Nd 0.3825 0.3825 0.7500
Nd 0.6175 0.0000 0.7500
Nd 0.6175 0.6175 0.2500
Pa 0.0000 0.0000 0.0000
Pa 0.0000 0.0000 0.5000
Bi 0.0000 0.2757 0.7500
Bi 0.0000 0.7243 0.2500
Bi 0.2757 0.0000 0.7500
Bi 0.2757 0.2757 0.2500
Bi 0.3333 0.6667 0.0000
Bi 0.3333 0.6667 0.5000
Bi 0.6667 0.3333 0.0000
Bi 0.6667 0.3333 0.5000
Bi 0.7243 0.0000 0.2500
Bi 0.7243 0.7243 0.7500

---

18.
Density functional theory data (PBE-GGA) for a relaxed NdPaBi3 crystal.

Values from the calculation:
final energy	-0.2042	hartree per atom
formation energy from the elements	-374	meV per atom
SG	Pbcm, No. 57

abc: 14.6177 6.4844 6.5575
angles: 90.00 90.00 90.00
Atoms (fractional coordinates):
Nd 0.1743 0.0230 0.2500
Nd 0.1743 0.4770 0.7500
Nd 0.8257 0.5230 0.2500
Nd 0.8257 0.9770 0.7500
Pa 0.4037 0.7500 0.0000
Pa 0.4037 0.7500 0.5000
Pa 0.5963 0.2500 0.0000
Pa 0.5963 0.2500 0.5000
Bi 0.0042 0.7500 0.0000
Bi 0.0042 0.7500 0.5000
Bi 0.2358 0.5242 0.2500
Bi 0.2358 0.9758 0.7500
Bi 0.4065 0.1866 0.2500
Bi 0.4065 0.3134 0.7500
Bi 0.5935 0.6866 0.2500
Bi 0.5935 0.8134 0.7500
Bi 0.7642 0.0242 0.2500
Bi 0.7642 0.4758 0.7500
Bi 0.9958 0.2500 0.0000
Bi 0.9958 0.2500 0.5000

---

19.
Density functional theory data (PBE-GGA) for a relaxed NdPaBi6 crystal.

Values from the calculation:
final energy	-0.1808	hartree per atom
formation energy from the elements	-226	meV per atom
SG	Amm2, No. 38

abc: 4.5496 12.6410 12.6410
angles: 20.75 90.00 90.00
Atoms (fractional coordinates):
Nd 0.0000 0.0000 0.0000
Pa 0.5000 0.3476 0.3476
Bi 0.0000 0.2459 0.2459
Bi 0.0000 0.6249 0.6249
Bi 0.0000 0.8666 0.8666
Bi 0.5000 0.0987 0.0987
Bi 0.5000 0.4753 0.4753
Bi 0.5000 0.7459 0.7459

---

20.
Density functional theory data (PBE-GGA) for a relaxed Nd3PaBi4 crystal.

Values from the calculation:
final energy	-0.2073	hartree per atom
formation energy from the elements	-726	meV per atom
SG	Cmmm, No. 65

abc: 7.9293 7.9293 4.5606
angles: 90.00 90.00 109.18
Atoms (fractional coordinates):
Nd 0.0000 0.0000 0.0000
Nd 0.0000 0.5000 0.5000
Nd 0.5000 0.0000 0.5000
Pa 0.5000 0.5000 0.0000
Bi 0.2541 0.7459 0.0000
Bi 0.2557 0.2557 0.5000
Bi 0.7443 0.7443 0.5000
Bi 0.7459 0.2541 0.0000

---

Which M_tot belongs to each record? In order, 0.00; 0.00; 0.00; 0.00; 0.00; 0.00; 0.00; 0.00; 0.00; 0.00; 0.00; 0.00; 0.00; 0.00; 0.00; 0.00; 0.61; 4.51; 0.00; 1.06 μB/cell.
Which N(E_F) belongs to each record? In order, 0.76; 1.29; 2.27; 0.89; 1.34; 1.04; 0.05; 1.04; 3.28; 5.19; 4.69; 1.91; 3.66; 4.70; 1.99; 3.17; 3.45; 6.20; 6.66; 7.60 states/eV/f.u..